Here is an optimized crystal structure of TaCr from Alexandria via LeMat-Bulk. Energies are from PBE. Values from VASP.

Quantum ESPRESSO input file:
```
&SYSTEM
  ibrav = 0, nat = 4, ntyp = 2
/
ATOMIC_SPECIES
Ta 180.95 Ta.upf
Cr 52.00 Cr.upf
CELL_PARAMETERS angstrom
1.900 1.097 5.190
-1.900 1.097 5.190
0.000 -2.194 5.190
ATOMIC_POSITIONS angstrom
Ta 0.000 0.000 1.666
Ta 0.000 0.000 13.903
Cr 0.000 0.000 4.859
Cr 0.000 0.000 10.710
```

## Properties
Density of states at the Fermi level   0.682 states/eV/atom
Energy of formation from the pure elements   0.433 eV per atom
Total moment   0.00 μB/atom
VASP energy   -20.61 eV/f.u.